Density functional theory data (PBE) for a relaxed TbSmSc crystal.

Cell lengths 5.580, 3.544, 12.745 Å; angles 133.99, 90.01, 89.99 degrees
Element x y z (fractional)
1 Tb 0.160 0.200 0.450
2 Tb 0.661 0.155 0.031
3 Sm 0.160 0.576 0.800
4 Sm 0.660 0.780 0.682
5 Sc 0.161 0.915 0.136
6 Sc 0.660 0.441 0.346

The space group is P2_1/m, No. 11. The calculation puts the energy relative to the lowest polymorph listed for this composition at 0.00 eV/f.u.


Density functional theory data (PBE) for a relaxed Tb12Sm2Sc5 crystal.

Cell lengths 6.873, 11.231, 8.432 Å; angles 72.50, 90.00, 107.82 degrees
Element x y z (fractional)
1 Tb 0.149 0.297 0.922
2 Tb 0.052 0.596 0.794
3 Tb 0.544 0.596 0.794
4 Tb 0.146 0.783 0.389
5 Tb 0.636 0.783 0.389
6 Tb 0.451 0.902 0.692
7 Tb 0.549 0.098 0.308
8 Tb 0.854 0.217 0.611
9 Tb 0.364 0.217 0.611
10 Tb 0.948 0.404 0.206
11 Tb 0.456 0.404 0.206
12 Tb 0.851 0.703 0.078
13 Sm 0.746 0.000 0.000
14 Sm 0.254 0.000 0.000
15 Sc 0.251 0.502 0.503
16 Sc 0.348 0.696 0.097
17 Sc 0.000 0.000 0.500
18 Sc 0.652 0.304 0.903
19 Sc 0.749 0.498 0.497

The space group is C2/m, No. 12.


Density functional theory data (PBE) for a relaxed Tb4Sm3Sc4 crystal.

Cell lengths 5.509, 6.498, 10.260 Å; angles 90.00, 90.00, 115.08 degrees
Element x y z (fractional)
1 Tb 0.634 0.267 0.500
2 Tb 0.556 0.112 0.000
3 Tb 0.095 0.190 0.721
4 Tb 0.095 0.190 0.279
5 Sm 0.397 0.794 0.308
6 Sm 0.397 0.794 0.692
7 Sm 0.257 0.515 0.000
8 Sc 0.763 0.526 0.785
9 Sc 0.763 0.526 0.215
10 Sc 0.896 0.791 0.500
11 Sc 0.946 0.893 0.000

The space group is Amm2, No. 38.


Density functional theory data (PBE) for a relaxed TbSm3Sc7 crystal.

Cell lengths 5.488, 8.013, 8.013 Å; angles 81.98, 109.99, 109.99 degrees
Element x y z (fractional)
1 Tb 0.500 0.500 0.500
2 Sm 0.000 0.785 0.215
3 Sm 0.500 0.000 0.000
4 Sm 0.000 0.215 0.785
5 Sc 0.207 0.207 0.207
6 Sc 0.281 0.971 0.591
7 Sc 0.719 0.409 0.029
8 Sc 0.281 0.591 0.971
9 Sc 0.000 0.500 0.500
10 Sc 0.719 0.029 0.409
11 Sc 0.793 0.793 0.793

The space group is Immm, No. 71.


Number 1: ΔH_f (0 K) 0.04 eV/atom. Number 2: ΔH_f (0 K) 0.16 eV/atom. Number 3: ΔH_f (0 K) 0.15 eV/atom. Number 4: ΔH_f (0 K) 0.30 eV/atom.